# 1
A plane-wave DFT calculation with PBE was carried out for crystalline LiPm2US5 at its relaxed geometry.

Summary:
The mass density comes out at 5.97 Mg/m³. The energy relative to the elements, uncorrected comes out at -1.70 eV per atom.

Cell: 3.9420 8.4671 11.9204 Å, 90.00 90.00 103.46°
Last column: nearest neighbours and their distance in Å.
Sites, in units of the cell vectors:
S  0.3652  0.7303  0.0003  1 Li 2.51, 1 U 2.72
U  0.2002  0.4003  0.0051  6 S 2.61-2.74
S  0.0486  0.0972  0.0680  2 Li 2.32
S  0.5011  0.0022  0.2803  1 Li 2.34
Pm  0.1259  0.2517  0.2984  8 S 2.86-3.11
Pm  0.1089  0.2177  0.6876  8 S 2.90-3.05
U  0.7998  0.5997  0.5051  6 S 2.61-2.74
S  0.6348  0.2697  0.5003  1 Li 2.51, 1 U 2.72
Pm  0.8911  0.7823  0.1876  8 S 2.90-3.05
Pm  0.8741  0.7483  0.7984  8 S 2.86-3.11
S  0.4989  0.9978  0.7803  1 Li 2.34
S  0.7121  0.4243  0.1630  2 U 2.73, 3 Pm 2.92-2.96
Li  0.4835  0.9670  0.4749  4 S 2.32-2.51
S  0.6905  0.3811  0.8464  2 U 2.74, 2 Pm 3.05
S  0.2879  0.5757  0.6630  2 U 2.73, 3 Pm 2.92-2.96
S  0.3095  0.6189  0.3464  2 U 2.74, 2 Pm 3.05
S  0.9514  0.9028  0.5680  2 Li 2.32
Li  0.5165  0.0330  0.9749  4 S 2.32-2.51

---

# 2
A plane-wave DFT calculation with PBE was carried out for crystalline Li2PmUS4 at its relaxed geometry.

Summary:
The mass density comes out at 5.17 Mg/m³. The energy relative to the elements, uncorrected comes out at -1.56 eV per atom.

Cell: 3.9487 6.8548 6.6297 Å, 110.10 90.00 90.00°
Last column: nearest neighbours and their distance in Å.
Sites, in units of the cell vectors:
Li  0.0000  0.5000  0.5000  6 S 2.71
S  0.5000  0.7399  0.7422  3 Li 2.71-2.78, 1 U 2.75, 2 Pm 2.81
Pm  0.0000  0.0000  0.0000  6 S 2.81-2.82
Li  0.5000  0.0000  0.5000  6 S 2.76-2.78
U  0.5000  0.5000  0.0000  6 S 2.75-2.76
S  0.5000  0.2601  0.2578  3 Li 2.71-2.78, 1 U 2.75, 2 Pm 2.81
S  0.0000  0.7452  0.2553  3 Li 2.71-2.76, 2 U 2.76, 1 Pm 2.82
S  0.0000  0.2548  0.7447  3 Li 2.71-2.76, 2 U 2.76, 1 Pm 2.82

---

# 3
A plane-wave DFT calculation with PBE was carried out for crystalline LiPm3Y3S8 at its relaxed geometry.

Summary:
The mass density comes out at 4.61 Mg/m³. The energy relative to the elements, uncorrected comes out at -2.00 eV per atom.

Cell: 7.8753 7.8754 7.9107 Å, 119.85 90.00 120.00°
Last column: nearest neighbours and their distance in Å.
Sites, in units of the cell vectors:
Y  0.5000  0.0000  0.5000  6 S 2.76
S  0.7559  0.0063  0.2622  1 Li 2.72, 2 Y 2.76, 2 Pm 2.83
S  0.7560  0.5119  0.2622  1 Li 2.72, 2 Y 2.76, 2 Pm 2.83
S  0.2441  0.9937  0.7378  1 Li 2.72, 2 Y 2.76, 2 Pm 2.83
S  0.2530  0.5060  0.2591  3 Y 2.76, 3 Pm 2.83
Y  0.5000  0.5000  0.5000  6 S 2.76
Pm  0.0000  0.5000  0.0000  6 S 2.83
S  0.2504  0.0063  0.2622  1 Li 2.72, 2 Y 2.76, 2 Pm 2.83
Pm  0.5000  0.5000  0.0000  6 S 2.83
Y  0.0000  0.5000  0.5000  6 S 2.76
Li  0.0000  0.0000  0.5000  6 S 2.72
S  0.2440  0.4881  0.7378  1 Li 2.72, 2 Y 2.76, 2 Pm 2.83
S  0.7496  0.9937  0.7378  1 Li 2.72, 2 Y 2.76, 2 Pm 2.83
S  0.7470  0.4940  0.7409  3 Y 2.76, 3 Pm 2.83
Pm  0.0000  0.0000  0.0000  6 S 2.83

---

# 4
A plane-wave DFT calculation with PBE was carried out for crystalline LiPm3Y2S6 at its relaxed geometry.

Summary:
The mass density comes out at 5.13 Mg/m³. The energy relative to the elements, uncorrected comes out at -1.97 eV per atom.

Cell: 6.8393 6.8393 6.8908 Å, 99.54 99.54 120.16°
Last column: nearest neighbours and their distance in Å.
Sites, in units of the cell vectors:
S  0.5940  0.9215  0.7632  1 Li 2.71, 2 Y 2.77, 3 Pm 2.83-2.89
Y  0.6657  0.3343  0.0000  6 S 2.75-2.77
S  0.2476  0.2476  0.7663  1 Li 2.69, 2 Y 2.75, 3 Pm 2.83-2.90
S  0.7524  0.7524  0.2337  1 Li 2.69, 2 Y 2.75, 3 Pm 2.83-2.90
S  0.9215  0.5940  0.7632  1 Li 2.71, 2 Y 2.77, 3 Pm 2.83-2.89
Y  0.3343  0.6657  0.0000  6 S 2.75-2.77
Pm  0.1654  0.8346  0.5000  6 S 2.83-2.89
Pm  0.5000  0.5000  0.5000  6 S 2.83-2.90
S  0.4060  0.0785  0.2368  1 Li 2.71, 2 Y 2.77, 3 Pm 2.83-2.89
Pm  0.8346  0.1654  0.5000  6 S 2.83-2.89
Li  0.0000  0.0000  0.0000  6 S 2.69-2.71
S  0.0785  0.4060  0.2368  1 Li 2.71, 2 Y 2.77, 3 Pm 2.83-2.89

---

# 5
A plane-wave DFT calculation with PBE was carried out for crystalline LiPm4YS8 at its relaxed geometry.

Summary:
The mass density comes out at 3.98 Mg/m³. The energy relative to the elements, uncorrected comes out at -1.93 eV per atom.

Cell: 8.2277 8.2277 8.1603 Å, 59.73 59.73 60.00°
Last column: nearest neighbours and their distance in Å.
Sites, in units of the cell vectors:
Pm  0.0042  0.4874  0.5042  6 S 2.78-2.87
S  0.2402  0.7707  0.7488  1 Li 2.66, 1 Y 2.73, 2 Pm 2.79
Pm  0.4874  0.0042  0.5042  6 S 2.78-2.87
S  0.7628  0.7628  0.2523  3 Pm 2.70-2.87, 1 Y 2.81
Pm  0.0042  0.0042  0.5042  6 S 2.78-2.87
S  0.2402  0.2402  0.7488  1 Li 2.66, 1 Y 2.73, 2 Pm 2.79
S  0.2442  0.2442  0.2673  1 Li 2.58, 3 Pm 2.78
S  0.7628  0.2221  0.2523  3 Pm 2.70-2.87, 1 Y 2.81
S  0.2221  0.7628  0.2523  3 Pm 2.70-2.87, 1 Y 2.81
S  0.7707  0.2402  0.7488  1 Li 2.66, 1 Y 2.73, 2 Pm 2.79
S  0.7583  0.7583  0.7250  4 Pm 2.67-2.86
Y  0.0047  0.0047  0.9860  6 S 2.73-2.81
Li  0.3741  0.3741  0.8777  4 S 2.58-2.66
Pm  0.6240  0.6240  0.1281  4 S 2.67-2.70

---

# 6
A plane-wave DFT calculation with PBE was carried out for crystalline LiPm2YS5 at its relaxed geometry.

Summary:
The mass density comes out at 4.68 Mg/m³. The energy relative to the elements, uncorrected comes out at -1.92 eV per atom.

Cell: 3.9656 8.4602 11.8857 Å, 90.00 90.00 103.55°
Last column: nearest neighbours and their distance in Å.
Sites, in units of the cell vectors:
S  0.3075  0.6150  0.3430  2 Y 2.74, 2 Pm 3.06
S  0.0463  0.0926  0.0714  2 Li 2.31
S  0.5007  0.0014  0.7841  1 Li 2.36
Pm  0.1239  0.2478  0.2967  8 S 2.86-3.12
S  0.6925  0.3850  0.8430  2 Y 2.74, 2 Pm 3.06
Pm  0.8761  0.7522  0.7967  8 S 2.86-3.12
Pm  0.8919  0.7839  0.1850  8 S 2.88-3.06
Y  0.8028  0.6056  0.5019  6 S 2.62-2.76
S  0.6371  0.2741  0.4987  1 Li 2.49, 1 Y 2.73
Li  0.4863  0.9726  0.4819  4 S 2.31-2.49
S  0.9537  0.9074  0.5714  2 Li 2.31
S  0.2870  0.5739  0.6614  2 Y 2.76, 3 Pm 2.94-2.96
S  0.7130  0.4261  0.1614  2 Y 2.76, 3 Pm 2.94-2.96
Y  0.1972  0.3944  0.0019  6 S 2.62-2.76
S  0.3629  0.7259  0.9987  1 Li 2.49, 1 Y 2.73
Li  0.5137  0.0274  0.9819  4 S 2.31-2.49
S  0.4993  0.9986  0.2841  1 Li 2.36
Pm  0.1081  0.2161  0.6850  8 S 2.88-3.06

---

# 7
A plane-wave DFT calculation with PBE was carried out for crystalline Li3PmY2S6 at its relaxed geometry.

Summary:
The mass density comes out at 3.54 Mg/m³. The energy relative to the elements, uncorrected comes out at -1.83 eV per atom.

Cell: 6.8508 6.8508 6.5943 Å, 99.93 99.93 120.03°
Last column: nearest neighbours and their distance in Å.
Sites, in units of the cell vectors:
S  0.2558  0.2558  0.7467  3 Li 2.71-2.79, 2 Y 2.75, 1 Pm 2.81
Li  0.1697  0.8303  0.5000  6 S 2.69-2.79
S  0.4235  0.0836  0.2520  3 Li 2.69-2.77, 2 Y 2.75, 1 Pm 2.80
S  0.9164  0.5765  0.7480  3 Li 2.69-2.77, 2 Y 2.75, 1 Pm 2.80
Pm  0.0000  0.0000  0.0000  6 S 2.80-2.81
S  0.0836  0.4235  0.2520  3 Li 2.69-2.77, 2 Y 2.75, 1 Pm 2.80
S  0.7442  0.7442  0.2533  3 Li 2.71-2.79, 2 Y 2.75, 1 Pm 2.81
Li  0.5000  0.5000  0.5000  6 S 2.71-2.77
Y  0.3335  0.6665  0.0000  6 S 2.75
Y  0.6665  0.3335  0.0000  6 S 2.75
Li  0.8303  0.1697  0.5000  6 S 2.69-2.79
S  0.5765  0.9164  0.7480  3 Li 2.69-2.77, 2 Y 2.75, 1 Pm 2.80

---

# 8
A plane-wave DFT calculation with PBE was carried out for crystalline Li2Pm3YS6 at its relaxed geometry.

Summary:
The mass density comes out at 4.65 Mg/m³. The energy relative to the elements, uncorrected comes out at -1.89 eV per atom.

Cell: 6.8557 6.8557 6.8055 Å, 99.65 99.65 120.00°
Last column: nearest neighbours and their distance in Å.
Sites, in units of the cell vectors:
Pm  0.5000  0.5000  0.5000  6 S 2.82-2.85
Pm  0.1680  0.8320  0.5000  6 S 2.82-2.85
S  0.9210  0.5854  0.7635  2 Li 2.73-2.74, 1 Y 2.76, 3 Pm 2.82-2.85
S  0.4146  0.0790  0.2365  2 Li 2.73-2.74, 1 Y 2.76, 3 Pm 2.82-2.85
Li  0.6669  0.3331  0.0000  6 S 2.73-2.75
Pm  0.8320  0.1680  0.5000  6 S 2.82-2.85
S  0.7445  0.7445  0.2389  2 Li 2.75, 1 Y 2.76, 3 Pm 2.82-2.85
Li  0.3331  0.6669  0.0000  6 S 2.73-2.75
Y  0.0000  0.0000  0.0000  6 S 2.76
S  0.0790  0.4146  0.2365  2 Li 2.73-2.74, 1 Y 2.76, 3 Pm 2.82-2.85
S  0.5854  0.9210  0.7635  2 Li 2.73-2.74, 1 Y 2.76, 3 Pm 2.82-2.85
S  0.2555  0.2555  0.7611  2 Li 2.75, 1 Y 2.76, 3 Pm 2.82-2.85

---

# 9
A plane-wave DFT calculation with PBE was carried out for crystalline LiPm2YS4 at its relaxed geometry.

Summary:
The mass density comes out at 4.88 Mg/m³. The energy relative to the elements, uncorrected comes out at -1.93 eV per atom.

Cell: 3.9594 6.8337 6.8512 Å, 109.43 90.00 90.00°
Last column: nearest neighbours and their distance in Å.
Sites, in units of the cell vectors:
S  0.5000  0.7498  0.7634  1 Li 2.72, 2 Y 2.76, 3 Pm 2.84-2.87
S  0.0000  0.2563  0.7629  2 Li 2.74, 1 Y 2.76, 3 Pm 2.83-2.85
S  0.5000  0.2502  0.2366  1 Li 2.72, 2 Y 2.76, 3 Pm 2.84-2.87
Li  0.5000  0.5000  0.0000  6 S 2.72-2.74
Y  0.0000  0.0000  0.0000  6 S 2.76
S  0.0000  0.7437  0.2371  2 Li 2.74, 1 Y 2.76, 3 Pm 2.83-2.85
Pm  0.5000  0.0000  0.5000  6 S 2.85-2.87
Pm  0.0000  0.5000  0.5000  6 S 2.83-2.84

---

# 10
A plane-wave DFT calculation with PBE was carried out for crystalline LiPmZrS4 at its relaxed geometry.

Summary:
The mass density comes out at 3.60 Mg/m³. The energy relative to the elements, uncorrected comes out at -1.68 eV per atom.

Cell: 7.5866 7.8728 7.8728 Å, 61.88 61.20 61.20°
Last column: nearest neighbours and their distance in Å.
Sites, in units of the cell vectors:
Li  0.6212  0.6288  0.1288  4 S 2.46-2.66
Li  0.3788  0.3712  0.8712  4 S 2.46-2.66
Pm  0.0000  0.5000  0.5000  6 S 2.79-2.82
Pm  0.0000  0.0000  0.0000  6 S 2.79-2.82
S  0.2518  0.7758  0.7207  2 Zr 2.62, 1 Li 2.66, 1 Pm 2.82
S  0.2518  0.2207  0.2758  2 Zr 2.62, 1 Li 2.66, 1 Pm 2.82
S  0.2316  0.7697  0.2697  1 Li 2.46, 1 Zr 2.57
S  0.7684  0.2303  0.7303  1 Li 2.46, 1 Zr 2.57
Zr  0.0000  0.0000  0.5000  6 S 2.57-2.62
S  0.7482  0.7793  0.7242  2 Zr 2.62, 1 Li 2.66, 1 Pm 2.82
S  0.7291  0.7697  0.2697  1 Li 2.46, 1 Zr 2.57
S  0.2709  0.2303  0.7303  1 Li 2.46, 1 Zr 2.57
S  0.7482  0.2242  0.2793  2 Zr 2.62, 1 Li 2.66, 1 Pm 2.82
Zr  0.5000  0.0000  0.5000  6 S 2.57-2.62

---

# 11
A plane-wave DFT calculation with PBE was carried out for crystalline Li3Pm2ZrS6 at its relaxed geometry.

Summary:
The mass density comes out at 4.04 Mg/m³. The energy relative to the elements, uncorrected comes out at -1.68 eV per atom.

Cell: 6.7464 6.7464 6.5947 Å, 99.69 99.69 120.09°
Last column: nearest neighbours and their distance in Å.
Sites, in units of the cell vectors:
S  0.0855  0.3976  0.2563  1 Zr 2.64, 3 Li 2.64-2.92, 2 Pm 2.81
Pm  0.6679  0.3321  0.0000  6 S 2.80-2.81
Li  0.8434  0.1566  0.5000  4 S 2.60-2.64
S  0.2312  0.2312  0.7491  3 Li 2.60-2.83, 1 Zr 2.63, 2 Pm 2.80
S  0.6024  0.9145  0.7437  1 Zr 2.64, 3 Li 2.64-2.92, 2 Pm 2.81
S  0.9145  0.6024  0.7437  1 Zr 2.64, 3 Li 2.64-2.92, 2 Pm 2.81
Pm  0.3321  0.6679  0.0000  6 S 2.80-2.81
S  0.7688  0.7688  0.2509  3 Li 2.60-2.83, 1 Zr 2.63, 2 Pm 2.80
Zr  0.0000  0.0000  0.0000  6 S 2.63-2.64
Li  0.5000  0.5000  0.5000  6 S 2.66-2.83
Li  0.1566  0.8434  0.5000  4 S 2.60-2.64
S  0.3976  0.0855  0.2563  1 Zr 2.64, 3 Li 2.64-2.92, 2 Pm 2.81

---

# 12
A plane-wave DFT calculation with PBE was carried out for crystalline Li2PmZrS4 at its relaxed geometry.

Summary:
The mass density comes out at 3.99 Mg/m³. The energy relative to the elements, uncorrected comes out at -1.62 eV per atom.

Cell: 3.7977 6.6553 6.6003 Å, 109.42 90.00 90.00°
Last column: nearest neighbours and their distance in Å.
Sites, in units of the cell vectors:
S  0.0000  0.7346  0.2501  3 Li 2.62-2.74, 2 Zr 2.66, 1 Pm 2.79
S  0.5000  0.7283  0.7418  3 Li 2.62-2.78, 1 Zr 2.63, 2 Pm 2.78
Li  0.0000  0.5000  0.5000  6 S 2.62
Li  0.5000  0.0000  0.5000  6 S 2.74-2.78
Zr  0.5000  0.5000  0.0000  6 S 2.63-2.66
S  0.5000  0.2717  0.2582  3 Li 2.62-2.78, 1 Zr 2.63, 2 Pm 2.78
S  0.0000  0.2654  0.7499  3 Li 2.62-2.74, 2 Zr 2.66, 1 Pm 2.79
Pm  0.0000  0.0000  0.0000  6 S 2.78-2.79

---

Which of these has the highest mass density? LiPm2US5

---

energy relative to the elements, uncorrected of number 4 (LiPm3Y2S6)? -1.97 eV per atom

---

energy relative to the elements, uncorrected of number 3 (LiPm3Y3S8)? -2.00 eV per atom